[1]
# Pt4Pb3

A relaxed Pt4Pb3 crystal (PBE, Alexandria via LeMat-Bulk).

Geometry as CIF:
```
data_Pt4Pb3
_chemical_formula_sum 'Pt4 Pb3'
_cell_length_a 6.3241
_cell_length_b 6.3241
_cell_length_c 4.7776
_cell_angle_alpha 90.00
_cell_angle_beta 90.00
_cell_angle_gamma 120.00
_space_group_name_H-M_alt 'P 6/m m m'
_space_group_IT_number 191
_space_group_name_Hall '-P 6 2'
loop_
_atom_site_label
_atom_site_fract_x
_atom_site_fract_y
_atom_site_fract_z
Pt1 0.0000 0.0000 0.2478
Pt2 0.3333 0.6667 0.0000
Pb1 0.0000 0.5000 0.5000
```

Values from the calculation:
Energy above the most stable polymorph in this dataset: 563 meV per atom
Crystal system: hexagonal
Energy of formation from the pure elements: 0.546 eV/atom
E_tot: -31.47 eV/cell
Magnetic moment: 0.000 μB per atom

***

[2]
# LiPuGa

A relaxed LiPuGa crystal (PBE, Alexandria via LeMat-Bulk).

Geometry as CIF:
```
data_LiPuGa
_chemical_formula_sum 'Li1 Pu1 Ga1'
_cell_length_a 4.8199
_cell_length_b 4.8199
_cell_length_c 2.9006
_cell_angle_alpha 90.00
_cell_angle_beta 90.00
_cell_angle_gamma 120.00
_space_group_name_H-M_alt 'P -6 m 2'
_space_group_IT_number 187
_space_group_name_Hall 'P -6 2'
loop_
_atom_site_label
_atom_site_fract_x
_atom_site_fract_y
_atom_site_fract_z
Li1 0.0000 0.0000 0.0000
Pu1 0.6667 0.3333 0.5000
Ga1 0.3333 0.6667 0.0000
```

Values from the calculation:
Energy above the most stable polymorph in this dataset: 0 meV per atom
Crystal system: hexagonal
Energy of formation from the pure elements: -0.190 eV/atom
E_tot: -19.84 eV/cell
Magnetic moment: 1.849 μB per atom

***

[3]
# HgB5Rh8

A relaxed HgB5Rh8 crystal (PBE, Alexandria via LeMat-Bulk).

Geometry as CIF:
```
data_HgB5Rh8
_chemical_formula_sum 'Hg2 B10 Rh16'
_cell_length_a 14.983
_cell_length_b 3.110
_cell_length_c 7.577
_cell_angle_alpha 90.00
_cell_angle_beta 101.96
_cell_angle_gamma 90.00
_space_group_name_H-M_alt 'C 1 2/m 1'
_space_group_IT_number 12
loop_
_space_group_symop_operation_xyz
'x,y,z'
'-x,-y,-z'
'-x,y,-z'
'x,-y,z'
'x+1/2,y+1/2,z'
'-x+1/2,-y+1/2,-z'
'-x+1/2,y+1/2,-z'
'x+1/2,-y+1/2,z'
loop_
_atom_site_label
_atom_site_fract_x
_atom_site_fract_y
_atom_site_fract_z
Hg1 0.000 0.000 0.000
B1 0.000 0.500 0.500
B2 0.158 0.000 0.486
B3 0.200 0.000 0.836
Rh1 0.066 0.000 0.668
Rh2 0.097 0.500 0.324
Rh3 0.167 0.500 0.997
Rh4 0.236 0.500 0.664
```

Values from the calculation:
Crystal system: monoclinic
Energy of formation from the pure elements: -0.259 eV/atom
E_tot: -192.26 eV/cell
Magnetic moment: 0.000 μB per atom